1.
A plane-wave DFT calculation with PBE was carried out for La4I after structural relaxation.

```
data_La4I
_chemical_formula_sum 'La4 I1'
_cell_length_a 6.0078
_cell_length_b 6.0078
_cell_length_c 6.0078
_cell_angle_alpha 90.00
_cell_angle_beta 90.00
_cell_angle_gamma 90.00
_space_group_name_H-M_alt 'P 1'
_space_group_IT_number 1
_space_group_name_Hall 'P 1'
loop_
_atom_site_label
_atom_site_type_symbol
_atom_site_fract_x
_atom_site_fract_y
_atom_site_fract_z
_atom_site_occupancy
I1 I 0.5000 0.5000 0.5000 1
La1 La 0.5000 0.5000 0.0000 1
La2 La 0.0000 0.0000 0.0000 1
La3 La 0.5000 0.0000 0.5000 1
La4 La 0.0000 0.5000 0.5000 1
```

Calculated values
Density   5227 kg/m³
Raw formation energy   -0.34 eV/f.u.
V   43.37 Å³ per atom

2.
A plane-wave DFT calculation with PBE was carried out for Pm2GaSnGe after structural relaxation.

```
data_Pm2GaSnGe
_chemical_formula_sum 'Pm4 Ga2 Sn2 Ge2'
_cell_length_a 4.3435
_cell_length_b 6.4080
_cell_length_c 8.9533
_cell_angle_alpha 90.10
_cell_angle_beta 90.00
_cell_angle_gamma 90.00
_space_group_name_H-M_alt 'P 1'
_space_group_IT_number 1
_space_group_name_Hall 'P 1'
loop_
_atom_site_label
_atom_site_type_symbol
_atom_site_fract_x
_atom_site_fract_y
_atom_site_fract_z
_atom_site_occupancy
Ga1 Ga 0.2500 0.5495 0.7497 1
Ga2 Ga 0.7500 0.4505 0.2503 1
Sn1 Sn 0.7500 0.2679 0.7496 1
Sn2 Sn 0.2500 0.7321 0.2504 1
Pm1 Pm 0.7500 0.7559 0.5324 1
Pm2 Pm 0.7500 0.7546 0.9679 1
Pm3 Pm 0.2500 0.2441 0.4676 1
Pm4 Pm 0.2500 0.2454 0.0321 1
Ge1 Ge 0.2500 0.9432 0.7506 1
Ge2 Ge 0.7500 0.0568 0.2494 1
```

Calculated values
Density   7344 kg/m³
E_form   -689 meV per atom
V   24.92 Å³ per atom